DFT (PBE) results for a relaxed Ce3TiSb5 crystal.

Results
E_form (uncorrected): -904 meV/atom
Fermi-level density of states: 32.4 states/eV per cell
E_tot: -108.88 eV for the cell shown
Crystal system: hexagonal

Cell lengths 9.315, 9.315, 6.258 Å; angles 90.00, 90.00, 120.00 degrees
Positions (direct):
Ce 0.000 0.385 0.250
Ce 0.000 0.615 0.750
Ce 0.385 0.000 0.250
Ce 0.385 0.385 0.750
Ce 0.615 0.000 0.750
Ce 0.615 0.615 0.250
Ti 0.000 0.000 0.000
Ti 0.000 0.000 0.500
Sb 0.000 0.257 0.750
Sb 0.000 0.743 0.250
Sb 0.257 0.000 0.750
Sb 0.257 0.257 0.250
Sb 0.333 0.667 0.000
Sb 0.333 0.667 0.500
Sb 0.667 0.333 0.000
Sb 0.667 0.333 0.500
Sb 0.743 0.000 0.250
Sb 0.743 0.743 0.750